The following is a PBE calculation of an optimized crystal structure of CrCuS4, from the Alexandria database.

Unit cell a=5.7792 b=5.7550 c=5.7485 alpha=90.00 beta=90.00 gamma=90.00
Positions (direct):
Cr: 0.0000 0.0000 0.0000
Cr: 0.0000 0.5000 0.5000
Cu: 0.5000 0.0000 0.5000
Cu: 0.5000 0.5000 0.0000
S: 0.0969 0.1170 0.3834
S: 0.0969 0.3830 0.8834
S: 0.3891 0.5993 0.3976
S: 0.3891 0.9007 0.8976
S: 0.6109 0.0993 0.1024
S: 0.6109 0.4007 0.6024
S: 0.9031 0.6170 0.1166
S: 0.9031 0.8830 0.6166

Mass density in g cm⁻³: 4.2
E in eV per cell: -64.2